Record 1
First-principles (PBE-GGA) data for a geometry-optimized Tb3Cu3Ni2 structure, as listed in the Alexandria database.

Mass density = 8.825 Mg/m³
Volume = 295.3 Å³ per cell
M_tot = 0.00 μB/cell
Electronic total energy = -0.3703 Ry per atom

a b c (Å): 3.916 5.266 15.428
angles (deg): 90.00 90.00 111.83
Element x y z (fractional)
Tb 0.925 0.849 0.397
Tb 0.075 0.151 0.897
Tb 0.925 0.849 0.103
Tb 0.075 0.151 0.603
Tb 0.645 0.291 0.250
Tb 0.355 0.709 0.750
Cu 0.637 0.275 0.467
Cu 0.363 0.725 0.967
Cu 0.637 0.275 0.033
Cu 0.363 0.725 0.533
Cu 0.355 0.709 0.250
Cu 0.645 0.291 0.750
Ni 0.783 0.567 0.885
Ni 0.217 0.433 0.385
Ni 0.783 0.567 0.615
Ni 0.217 0.433 0.115

=====

Record 2
First-principles (PBE-GGA) data for a geometry-optimized Tb4Cu2Ni structure, as listed in the Alexandria database.

Mass density = 8.410 Mg/m³
Volume = 162.2 Å³ per cell
M_tot = 0.00 μB/cell
Electronic total energy = -0.3536 Ry per atom

a b c (Å): 4.839 5.959 5.959
angles (deg): 109.28 90.00 90.00
Element x y z (fractional)
Tb 0.000 0.747 0.747
Tb 0.000 0.253 0.253
Tb 0.500 0.000 0.500
Tb 0.500 0.500 0.000
Cu 0.000 0.751 0.249
Cu 0.000 0.249 0.751
Ni 0.500 0.500 0.500

=====

Record 3
First-principles (PBE-GGA) data for a geometry-optimized Tb3Cu2Ni4 structure, as listed in the Alexandria database.

Mass density = 8.928 Mg/m³
Volume = 156.0 Å³ per cell
M_tot = 0.00 μB/cell
Electronic total energy = -0.3956 Ry per atom

a b c (Å): 4.125 5.194 8.067
angles (deg): 99.55 90.00 113.40
Element x y z (fractional)
Tb 0.379 0.758 0.625
Tb 0.000 0.000 0.000
Tb 0.621 0.242 0.375
Cu 0.310 0.621 0.229
Cu 0.690 0.379 0.771
Ni 0.731 0.462 0.081
Ni 0.087 0.173 0.633
Ni 0.913 0.827 0.367
Ni 0.269 0.538 0.919

=====

Record 4
First-principles (PBE-GGA) data for a geometry-optimized Tb2CuNi9 structure, as listed in the Alexandria database.

Mass density = 9.096 Mg/m³
Volume = 166.1 Å³ per cell
M_tot = 2.73 μB/cell
Electronic total energy = -0.4113 Ry per atom

a b c (Å): 4.897 4.897 8.480
angles (deg): 73.22 73.22 60.00
Element x y z (fractional)
Tb 0.867 0.867 0.400
Tb 0.133 0.133 0.600
Cu 0.000 0.000 0.000
Ni 0.667 0.667 0.999
Ni 0.333 0.333 0.001
Ni 0.500 0.500 0.500
Ni 0.419 0.419 0.243
Ni 0.920 0.419 0.243
Ni 0.419 0.920 0.243
Ni 0.581 0.581 0.757
Ni 0.581 0.080 0.757
Ni 0.080 0.581 0.757

=====

Record 5
First-principles (PBE-GGA) data for a geometry-optimized TbCuNi4 structure, as listed in the Alexandria database.

Energy relative to the lowest polymorph listed for this composition = 0 meV per atom
Mass density = 9.137 Mg/m³
Volume = 83.1 Å³ per cell
M_tot = 0.58 μB/cell

a b c (Å): 4.915 4.915 3.971
angles (deg): 90.00 90.00 120.00
Element x y z (fractional)
Tb 0.333 0.667 0.000
Cu 0.667 0.333 0.000
Ni 0.000 0.000 0.000
Ni 0.332 0.166 0.500
Ni 0.834 0.166 0.500
Ni 0.834 0.668 0.500

=====

Record 6
First-principles (PBE-GGA) data for a geometry-optimized TbCu4Ni structure, as listed in the Alexandria database.

Mass density = 6.435 Mg/m³
Volume = 121.8 Å³ per cell
M_tot = 0.00 μB/cell
Electronic total energy = -0.2822 Ry per atom

a b c (Å): 4.297 4.297 6.595
angles (deg): 89.98 90.07 90.00
Element x y z (fractional)
Tb 0.500 0.000 0.000
Cu 0.000 0.500 0.169
Cu 0.000 0.500 0.831
Cu 0.000 0.000 0.500
Cu 0.500 0.500 0.500
Ni 0.000 0.500 0.500

=====

Record 7
First-principles (PBE-GGA) data for a geometry-optimized Tb4CuNi structure, as listed in the Alexandria database.

Mass density = 7.277 Mg/m³
Volume = 345.9 Å³ per cell
M_tot = 1.55 μB/cell
Electronic total energy = -0.3488 Ry per atom

a b c (Å): 7.714 7.714 7.714
angles (deg): 104.91 104.91 119.04
Element x y z (fractional)
Tb 0.258 0.960 0.701
Tb 0.742 0.449 0.707
Tb 0.710 0.508 0.201
Tb 0.199 0.992 0.207
Tb 0.307 0.508 0.799
Tb 0.784 0.992 0.793
Tb 0.742 0.034 0.293
Tb 0.258 0.557 0.299
Cu 0.249 0.249 0.000
Cu 0.999 0.499 0.500
Ni 0.752 0.752 0.000
Ni 0.502 0.002 0.500

=====

Record 8
First-principles (PBE-GGA) data for a geometry-optimized Tb3CuNi3 structure, as listed in the Alexandria database.

Energy relative to the lowest polymorph listed for this composition = 122 meV per atom
Mass density = 8.591 Mg/m³
Volume = 276.9 Å³ per cell
M_tot = 0.00 μB/cell

a b c (Å): 4.238 8.686 8.686
angles (deg): 120.00 90.00 90.00
Element x y z (fractional)
Tb 0.750 0.684 0.599
Tb 0.750 0.401 0.085
Tb 0.750 0.915 0.316
Tb 0.250 0.316 0.401
Tb 0.250 0.599 0.915
Tb 0.250 0.085 0.684
Cu 0.250 0.667 0.333
Cu 0.750 0.333 0.667
Ni 0.250 0.856 0.823
Ni 0.250 0.177 0.033
Ni 0.250 0.967 0.144
Ni 0.750 0.144 0.177
Ni 0.750 0.823 0.967
Ni 0.750 0.033 0.856

=====

Record 9
First-principles (PBE-GGA) data for a geometry-optimized Tb8CuNi2 structure, as listed in the Alexandria database.

Energy relative to the lowest polymorph listed for this composition = 106 meV per atom
Mass density = 8.228 Mg/m³
Volume = 293.1 Å³ per cell
M_tot = 0.00 μB/cell

a b c (Å): 5.880 7.550 7.550
angles (deg): 113.84 99.21 99.21
Element x y z (fractional)
Tb 0.580 0.344 0.083
Tb 0.580 0.083 0.344
Tb 0.175 0.373 0.373
Tb 0.988 0.224 0.777
Tb 0.988 0.777 0.224
Tb 0.803 0.636 0.636
Tb 0.381 0.924 0.662
Tb 0.381 0.662 0.924
Cu 0.148 0.004 0.004
Ni 0.488 0.697 0.311
Ni 0.488 0.311 0.697

=====

Record 10
First-principles (PBE-GGA) data for a geometry-optimized TbCu4Ni structure, as listed in the Alexandria database.

Mass density = 8.704 Mg/m³
Volume = 180.0 Å³ per cell
M_tot = 0.00 μB/cell
Electronic total energy = -0.3355 Ry per atom

a b c (Å): 3.797 6.520 7.270
angles (deg): 90.00 90.00 90.00
Element x y z (fractional)
Tb 0.000 0.610 0.750
Tb 0.000 0.390 0.250
Cu 0.000 0.000 0.500
Cu 0.000 0.000 0.000
Cu 0.500 0.963 0.750
Cu 0.500 0.037 0.250
Cu 0.500 0.711 0.048
Cu 0.500 0.289 0.952
Cu 0.500 0.711 0.452
Cu 0.500 0.289 0.548
Ni 0.000 0.223 0.750
Ni 0.000 0.777 0.250

=====

Record 11
First-principles (PBE-GGA) data for a geometry-optimized Tb2Cu5Ni5 structure, as listed in the Alexandria database.

Energy relative to the lowest polymorph listed for this composition = 5 meV per atom
Mass density = 9.035 Mg/m³
Volume = 170.8 Å³ per cell
M_tot = 0.00 μB/cell

a b c (Å): 3.978 4.989 8.605
angles (deg): 90.00 90.00 90.00
Element x y z (fractional)
Tb 0.000 0.500 0.000
Tb 0.000 0.000 0.500
Cu 0.000 0.500 0.333
Cu 0.000 0.000 0.830
Cu 0.000 0.000 0.170
Cu 0.000 0.500 0.667
Cu 0.500 0.000 0.000
Ni 0.500 0.500 0.500
Ni 0.500 0.749 0.252
Ni 0.500 0.251 0.748
Ni 0.500 0.251 0.252
Ni 0.500 0.749 0.748

=====

Record 12
First-principles (PBE-GGA) data for a geometry-optimized Tb4CuNi3 structure, as listed in the Alexandria database.

Mass density = 8.832 Mg/m³
Volume = 164.6 Å³ per cell
M_tot = 0.00 μB/cell
Electronic total energy = -0.3959 Ry per atom

a b c (Å): 3.694 4.360 10.218
angles (deg): 90.00 90.00 90.00
Element x y z (fractional)
Tb 0.500 0.500 0.367
Tb 0.000 0.500 0.855
Tb 0.000 0.000 0.141
Tb 0.500 0.000 0.638
Cu 0.500 0.500 0.070
Ni 0.000 0.500 0.575
Ni 0.000 0.000 0.426
Ni 0.500 0.000 0.929